Arrangement A

DFT (GGA-PBE) results for a geometry-optimized AlCrIn3 structure.

As for the calculated volume: 27.65 Å³/atom. The value obtained for the mass density is 5.1 g/cm³. As for the symmetry: Pm-3m.

a = 5.171 Å, b = 5.171 Å, c = 5.171 Å
α = 90.00°, β = 90.00°, γ = 90.00°
Last column: magnetic moment on the atom in μB.
Sites, in units of the cell vectors:
In 0.000 0.500 0.000  -0.04
In 0.000 0.000 0.500  0.01
In 0.500 0.000 0.000  -0.06
Al 0.500 0.500 0.500  -0.04
Cr 0.000 0.000 0.000  2.17

Arrangement B

DFT (GGA-PBE) results for a geometry-optimized AlCrIn3 structure.

As for the calculated volume: 29.75 Å³/atom. The value obtained for the mass density is 4.7 g/cm³. As for the symmetry: Pm-3m.

a = 5.298 Å, b = 5.298 Å, c = 5.298 Å
α = 90.00°, β = 90.00°, γ = 90.00°
Last column: magnetic moment on the atom in μB.
Sites, in units of the cell vectors:
In 0.000 0.000 0.500  -0.02
In 0.500 0.000 0.000  0.01
Al 0.000 0.000 0.000  -0.03
Cr 0.500 0.500 0.500  -4.22
In 0.000 0.500 0.000  0.01

In kJ/mol of atoms, relative to the most stable structure: arrangement A 0.0; arrangement B 15.2.